Computed, not measured: Sm2ZnGePb after structural relaxation at the PBE-GGA level of DFT.

Unit cell a=4.5421 b=7.5297 c=7.7298 alpha=90.00 beta=90.00 gamma=90.00
Fractional positions:
Sm1 0.2500 0.0072 0.2169
Sm2 0.2500 0.4928 0.2169
Sm3 0.7500 0.5072 0.7831
Sm4 0.7500 0.9928 0.7831
Zn1 0.2500 0.7500 0.5958
Zn2 0.7500 0.2500 0.4042
Ge1 0.2500 0.7500 0.9172
Ge2 0.7500 0.2500 0.0828
Pb1 0.2500 0.2500 0.6050
Pb2 0.7500 0.7500 0.3950

## Properties
Electronic total energy (eV/atom): -4.3603
ΔH_f (0 K) (eV per atom): -0.5527
Symmetry: Pmmn
ρ (g/cm3): 8.115



Computed, not measured: SnGePb3 after structural relaxation at the PBE-GGA level of DFT.

Unit cell a=5.5430 b=5.5430 c=5.5430 alpha=90.00 beta=90.00 gamma=90.00
Fractional positions:
Sn1 0.0000 0.0000 0.0000
Ge1 0.5000 0.5000 0.5000
Pb1 0.0000 0.5000 0.5000
Pb2 0.5000 0.0000 0.5000
Pb3 0.5000 0.5000 0.0000

## Properties
Electronic total energy (eV/atom): -3.5024
ΔH_f (0 K) (eV per atom): 0.4466
Symmetry: Pm-3m
ρ (g/cm3): 7.927



Computed, not measured: SnGePb2 after structural relaxation at the PBE-GGA level of DFT.

Unit cell a=8.1089 b=8.1089 c=8.1089 alpha=131.57 beta=131.57 gamma=70.90
Fractional positions:
Sn1 0.0000 0.0000 0.0000
Sn2 0.7500 0.2500 0.5000
Ge1 0.2500 0.7500 0.5000
Ge2 0.5000 0.5000 0.0000
Pb1 0.1465 0.6250 0.0215
Pb2 0.3750 0.3965 0.5215
Pb3 0.6035 0.1250 0.9785
Pb4 0.8750 0.8535 0.4785

## Properties
Electronic total energy (eV/atom): -3.7944
ΔH_f (0 K) (eV per atom): 0.2148
Symmetry: I-42d
ρ (g/cm3): 6.884